No. 1
AcPmPrEr2 | GGA-PBE | optimized geometry

Cell lengths 6.4673, 6.5947, 9.3592 Å; angles 110.63, 90.00, 90.00 degrees
Last column: nearest neighbours and their distance in Å.
Atoms (fractional coordinates):
Er  0.5000  0.2430  0.0000  4 Er 3.20-3.39, 2 Pr 3.51
Er  0.0000  0.7570  0.0000  4 Er 3.20-3.39, 2 Pr 3.51
Er  0.0000  0.2430  0.0000  4 Er 3.20-3.39, 2 Pr 3.51
Er  0.5000  0.7570  0.0000  4 Er 3.20-3.39, 2 Pr 3.51
Pm  0.2500  0.2181  0.4363  2 Pr 3.43, 2 Ac 3.47
Pm  0.7500  0.7819  0.5637  2 Pr 3.43, 2 Ac 3.47
Ac  0.2500  0.6561  0.3123  1 Pr 3.35, 2 Pm 3.47, 4 Er 3.60
Ac  0.7500  0.3439  0.6877  1 Pr 3.35, 2 Pm 3.47, 4 Er 3.60
Pr  0.2500  0.8475  0.6950  1 Ac 3.35, 2 Pm 3.43, 4 Er 3.51
Pr  0.7500  0.1525  0.3050  1 Ac 3.35, 2 Pm 3.43, 4 Er 3.51

Values from the calculation:
E_form = 0.35 eV/atom
space-group type = No. 63
D(E_F) = 8.44 states/eV/f.u.

---

No. 2
Ac2PmPr5Er | GGA-PBE | optimized geometry

Cell lengths 5.8679, 10.9019, 11.0573 Å; angles 90.00, 90.00, 105.61 degrees
Last column: nearest neighbours and their distance in Å.
Atoms (fractional coordinates):
Pr  0.7181  0.4363  0.8083  1 Er 3.16, 1 Ac 3.44
Pr  0.2943  0.5887  0.6986  1 Er 3.48, 2 Pr 3.56, 3 Pm 3.62-3.88, 3 Ac 3.71-3.84
Pr  0.2819  0.5637  0.3083  1 Er 3.16, 1 Ac 3.44
Pr  0.7057  0.4113  0.1986  1 Er 3.48, 2 Pr 3.56, 3 Pm 3.62-3.88, 3 Ac 3.71-3.84
Pr  0.6079  0.2158  0.5235  5 Pr 3.59-3.96, 4 Ac 3.71-3.74, 1 Pm 3.90
Pr  0.5176  0.0352  0.2443  2 Er 3.39-3.44, 2 Pr 3.59-3.62, 2 Ac 3.71
Pr  0.0190  0.0379  0.0225  2 Er 3.37, 3 Ac 3.61-3.74
Pr  0.4824  0.9648  0.7443  2 Er 3.39-3.44, 2 Pr 3.59-3.62, 2 Ac 3.71
Pr  0.3921  0.7842  0.0235  5 Pr 3.59-3.96, 4 Ac 3.71-3.74, 1 Pm 3.90
Pr  0.9810  0.9621  0.5225  2 Er 3.37, 3 Ac 3.61-3.74
Ac  0.8878  0.7757  0.2338  1 Pm 3.61, 9 Pr 3.61-4.01, 2 Er 3.93
Ac  0.8819  0.7639  0.8185  8 Pr 3.44-3.71
Ac  0.1122  0.2243  0.7338  1 Pm 3.61, 9 Pr 3.61-4.01, 2 Er 3.93
Ac  0.1181  0.2361  0.3185  8 Pr 3.44-3.71
Pm  0.7936  0.5872  0.5069  2 Ac 3.61-3.91, 8 Pr 3.62-3.94, 2 Er 3.80
Pm  0.2064  0.4128  0.0069  2 Ac 3.61-3.91, 8 Pr 3.62-3.94, 2 Er 3.80
Er  0.4070  0.8140  0.4677  6 Pr 3.16-3.48
Er  0.5930  0.1860  0.9677  6 Pr 3.16-3.48

Values from the calculation:
E_form = 0.13 eV/atom
space-group type = No. 36
D(E_F) = 12.83 states/eV/f.u.

---

No. 3
AcPm2PrEr4 | GGA-PBE | optimized geometry

Cell lengths 9.6514, 9.6514, 11.9958 Å; angles 128.42, 128.42, 88.38 degrees
Last column: nearest neighbours and their distance in Å.
Atoms (fractional coordinates):
Er  0.7360  0.2396  0.9879  2 Er 3.28-3.62, 3 Pm 3.34-3.42, 1 Pr 3.39, 2 Ac 3.50
Er  0.7396  0.2360  0.4879  2 Er 3.28-3.62, 3 Pm 3.34-3.42, 1 Pr 3.39, 2 Ac 3.50
Er  0.7424  0.7584  0.4984  3 Pm 3.26-3.44, 2 Er 3.46, 1 Ac 3.47, 2 Pr 3.48
Er  0.2604  0.7640  0.5121  2 Er 3.28-3.62, 3 Pm 3.34-3.42, 1 Pr 3.39, 2 Ac 3.50
Er  0.2640  0.7604  0.0121  2 Er 3.28-3.62, 3 Pm 3.34-3.42, 1 Pr 3.39, 2 Ac 3.50
Er  0.2584  0.2424  0.9984  3 Pm 3.26-3.44, 2 Er 3.46, 1 Ac 3.47, 2 Pr 3.48
Er  0.2576  0.2416  0.5016  3 Pm 3.26-3.44, 2 Er 3.46, 1 Ac 3.47, 2 Pr 3.48
Er  0.7416  0.7576  0.0016  3 Pm 3.26-3.44, 2 Er 3.46, 1 Ac 3.47, 2 Pr 3.48
Pm  0.5000  0.5000  0.0000  6 Er 3.34-3.44, 2 Pm 3.45
Pm  0.0000  0.0000  0.5000  6 Er 3.34-3.44, 2 Pm 3.45
Pm  0.5000  0.0000  0.5000  6 Er 3.26-3.42, 2 Ac 3.45
Pm  0.5000  0.0000  0.0000  6 Er 3.26-3.42, 2 Ac 3.45
Pr  0.5000  0.5000  0.5000  6 Er 3.39-3.48, 2 Pr 3.45
Pr  0.0000  0.0000  0.0000  6 Er 3.39-3.48, 2 Pr 3.45
Ac  0.0000  0.5000  0.5000  2 Pm 3.45, 6 Er 3.47-3.50
Ac  0.0000  0.5000  0.0000  2 Pm 3.45, 6 Er 3.47-3.50

Values from the calculation:
E_form = 0.43 eV/atom
space-group type = No. 74
D(E_F) = 19.09 states/eV/f.u.

---

No. 4
Ac5PmPr2Er | GGA-PBE | optimized geometry

Cell lengths 8.4989, 8.4989, 11.9254 Å; angles 110.88, 110.88, 90.00 degrees
Last column: nearest neighbours and their distance in Å.
Atoms (fractional coordinates):
Ac  0.0000  0.0000  0.0000  4 Pr 3.37
Ac  0.6357  0.1357  0.7231  1 Pr 3.38, 1 Er 3.56
Ac  0.3643  0.8643  0.2769  1 Pr 3.38, 1 Er 3.56
Ac  0.5000  0.5000  0.0000  4 Pr 3.37
Ac  0.1357  0.0875  0.7231  1 Pr 3.38, 1 Er 3.56
Ac  0.0875  0.5875  0.7231  1 Pr 3.38, 1 Er 3.56
Ac  0.8643  0.9125  0.2769  1 Pr 3.38, 1 Er 3.56
Ac  0.5875  0.6357  0.7231  1 Pr 3.38, 1 Er 3.56
Ac  0.9125  0.4125  0.2769  1 Pr 3.38, 1 Er 3.56
Ac  0.4125  0.3643  0.2769  1 Pr 3.38, 1 Er 3.56
Pr  0.8774  0.6226  0.0000  1 Pr 2.95
Pr  0.3774  0.8774  0.0000  1 Pr 2.95
Pr  0.1226  0.3774  0.0000  1 Pr 2.95
Pr  0.6226  0.1226  0.0000  1 Pr 2.95
Er  0.7500  0.2500  0.5000  4 Ac 3.56
Er  0.2500  0.7500  0.5000  4 Ac 3.56
Pm  0.2500  0.2500  0.5000  8 Ac 3.79
Pm  0.7500  0.7500  0.5000  8 Ac 3.79

Values from the calculation:
E_form = 0.28 eV/atom
space-group type = No. 140
D(E_F) = 13.73 states/eV/f.u.

---

No. 5
AcPmPrEr | GGA-PBE | optimized geometry

Cell lengths 5.9091, 5.9091, 5.9091 Å; angles 60.00, 60.00, 60.00 degrees
Last column: nearest neighbours and their distance in Å.
Atoms (fractional coordinates):
Pr  0.2500  0.2500  0.2500  4 Er 3.62, 4 Pm 3.62
Pm  0.5000  0.5000  0.5000  4 Ac 3.62, 4 Pr 3.62
Ac  0.7500  0.7500  0.7500  4 Pm 3.62, 4 Er 3.62
Er  0.0000  0.0000  0.0000  4 Pr 3.62, 4 Ac 3.62

Values from the calculation:
E_form = 0.12 eV/atom
space-group type = No. 216
D(E_F) = 7.92 states/eV/f.u.
distance to the lowest polymorph of the same formula = 0.064 eV/atom

---

No. 6
Ac2PmPr4Er | GGA-PBE | optimized geometry

Cell lengths 3.7745, 6.4244, 12.4995 Å; angles 79.55, 90.00, 90.00 degrees
Last column: nearest neighbours and their distance in Å.
Atoms (fractional coordinates):
Ac  0.0000  0.0000  0.0000  4 Pm 3.73, 6 Pr 3.76-3.81, 2 Ac 3.77
Ac  0.5000  0.0000  0.5000  4 Er 3.73, 6 Pr 3.73-3.77, 2 Ac 3.77
Pr  0.5000  0.2553  0.7455  6 Pr 3.69-3.77, 2 Er 3.70, 3 Ac 3.73-3.81, 1 Pm 3.80
Pr  0.0000  0.2537  0.2487  6 Pr 3.69-3.77, 2 Pm 3.73, 3 Ac 3.76-3.77, 1 Er 3.76
Pr  0.5000  0.7447  0.2545  6 Pr 3.69-3.77, 2 Er 3.70, 3 Ac 3.73-3.81, 1 Pm 3.80
Pr  0.0000  0.7463  0.7513  6 Pr 3.69-3.77, 2 Pm 3.73, 3 Ac 3.76-3.77, 1 Er 3.76
Pm  0.5000  0.5000  0.0000  4 Ac 3.73, 6 Pr 3.73-3.80, 2 Pm 3.77
Er  0.0000  0.5000  0.5000  6 Pr 3.70-3.76, 4 Ac 3.73, 2 Er 3.77

Values from the calculation:
E_form = 0.03 eV/atom
space-group type = No. 10
D(E_F) = 12.74 states/eV/f.u.

---

No. 7
AcPm4Pr2Er | GGA-PBE | optimized geometry

Cell lengths 9.7594, 9.7594, 12.0930 Å; angles 128.20, 128.20, 88.55 degrees
Last column: nearest neighbours and their distance in Å.
Atoms (fractional coordinates):
Pm  0.7292  0.7442  0.9805  3 Pr 3.31-3.62, 2 Er 3.39-3.48, 1 Ac 3.51, 2 Pm 3.53
Pm  0.7438  0.2286  0.9865  1 Er 3.30, 1 Pm 3.33, 3 Pr 3.44-3.51, 2 Ac 3.55
Pm  0.2562  0.7714  0.0135  1 Er 3.30, 1 Pm 3.33, 3 Pr 3.44-3.51, 2 Ac 3.55
Pm  0.7286  0.2438  0.4865  1 Er 3.30, 1 Pm 3.33, 3 Pr 3.44-3.51, 2 Ac 3.55
Pm  0.2708  0.2558  0.0196  3 Pr 3.31-3.62, 2 Er 3.39-3.48, 1 Ac 3.51, 2 Pm 3.53
Pm  0.2714  0.7562  0.5135  1 Er 3.30, 1 Pm 3.33, 3 Pr 3.44-3.51, 2 Ac 3.55
Pm  0.2442  0.2293  0.4804  3 Pr 3.31-3.62, 2 Er 3.39-3.48, 1 Ac 3.51, 2 Pm 3.53
Pm  0.7558  0.7708  0.5196  3 Pr 3.31-3.62, 2 Er 3.39-3.48, 1 Ac 3.51, 2 Pm 3.53
Er  0.5000  0.5000  0.5000  6 Pm 3.30-3.48, 2 Er 3.52
Er  0.0000  0.0000  0.0000  6 Pm 3.30-3.48, 2 Er 3.52
Pr  0.5000  0.5000  0.0000  6 Pm 3.51-3.62, 2 Pr 3.52
Pr  0.5000  0.0000  0.5000  6 Pm 3.31-3.46, 2 Ac 3.52
Pr  0.0000  0.0000  0.5000  6 Pm 3.51-3.62, 2 Pr 3.52
Pr  0.5000  0.0000  0.0000  6 Pm 3.31-3.46, 2 Ac 3.52
Ac  0.0000  0.5000  0.0000  6 Pm 3.51-3.55, 2 Pr 3.52
Ac  0.0000  0.5000  0.5000  6 Pm 3.51-3.55, 2 Pr 3.52

Values from the calculation:
E_form = 0.38 eV/atom
space-group type = No. 15
D(E_F) = 18.14 states/eV/f.u.

---

No. 8
Ac2Pm4PrEr | GGA-PBE | optimized geometry

Cell lengths 9.8765, 9.8765, 7.1531 Å; angles 111.30, 111.30, 88.47 degrees
Last column: nearest neighbours and their distance in Å.
Atoms (fractional coordinates):
Pm  0.2502  0.7278  0.4889  1 Er 3.29, 2 Pr 3.42-3.43, 2 Pm 3.59, 3 Ac 3.60-3.66
Pm  0.7722  0.2498  0.0111  1 Er 3.29, 2 Pr 3.42-3.43, 2 Pm 3.59, 3 Ac 3.60-3.66
Pm  0.7575  0.7412  0.9831  1 Pr 3.33, 1 Pm 3.34, 2 Er 3.47-3.49, 3 Ac 3.56-3.60
Pm  0.7498  0.2722  0.5111  1 Er 3.29, 2 Pr 3.42-3.43, 2 Pm 3.59, 3 Ac 3.60-3.66
Pm  0.2278  0.7502  0.9889  1 Er 3.29, 2 Pr 3.42-3.43, 2 Pm 3.59, 3 Ac 3.60-3.66
Pm  0.7588  0.7425  0.5169  1 Pr 3.33, 1 Pm 3.34, 2 Er 3.47-3.49, 3 Ac 3.56-3.60
Pm  0.2425  0.2588  0.0169  1 Pr 3.33, 1 Pm 3.34, 2 Er 3.47-3.49, 3 Ac 3.56-3.60
Pm  0.2412  0.2575  0.4831  1 Pr 3.33, 1 Pm 3.34, 2 Er 3.47-3.49, 3 Ac 3.56-3.60
Ac  0.5000  0.0000  0.0000  6 Pm 3.56-3.66, 2 Ac 3.58
Ac  0.0000  0.0000  0.5000  2 Er 3.58, 6 Pm 3.59-3.60
Ac  0.5000  0.5000  0.0000  2 Er 3.58, 6 Pm 3.59-3.60
Ac  0.5000  0.0000  0.5000  6 Pm 3.56-3.66, 2 Ac 3.58
Pr  0.0000  0.5000  0.5000  6 Pm 3.33-3.43, 2 Pr 3.58
Pr  0.0000  0.5000  0.0000  6 Pm 3.33-3.43, 2 Pr 3.58
Er  0.5000  0.5000  0.5000  6 Pm 3.29-3.49, 2 Ac 3.58
Er  0.0000  0.0000  0.0000  6 Pm 3.29-3.49, 2 Ac 3.58

Values from the calculation:
E_form = 0.39 eV/atom
space-group type = No. 15
D(E_F) = 18.42 states/eV/f.u.

---

No. 9
AcPm4PrEr2 | GGA-PBE | optimized geometry

Cell lengths 5.1762, 6.3501, 9.7137 Å; angles 89.79, 74.55, 65.95 degrees
Last column: nearest neighbours and their distance in Å.
Atoms (fractional coordinates):
Ac  0.5000  0.5000  0.5000  8 Pm 3.68-3.69, 4 Er 3.71
Pr  0.0000  0.0000  0.0000  8 Pm 3.63-3.67, 4 Er 3.63
Pm  0.8770  0.8750  0.3711  1 Pr 3.63, 4 Er 3.64-3.74, 4 Pm 3.66-3.71, 3 Ac 3.68
Pm  0.6265  0.6246  0.1224  4 Er 3.61-3.67, 4 Pm 3.64-3.66, 3 Pr 3.65-3.67, 1 Ac 3.69
Pm  0.1230  0.1250  0.6289  1 Pr 3.63, 4 Er 3.64-3.74, 4 Pm 3.66-3.71, 3 Ac 3.68
Pm  0.3735  0.3754  0.8776  4 Er 3.61-3.67, 4 Pm 3.64-3.66, 3 Pr 3.65-3.67, 1 Ac 3.69
Er  0.7448  0.7557  0.7547  8 Pm 3.61-3.74, 2 Pr 3.63, 2 Ac 3.71
Er  0.2552  0.2443  0.2453  8 Pm 3.61-3.74, 2 Pr 3.63, 2 Ac 3.71

Values from the calculation:
E_form = 0.04 eV/atom
space-group type = No. 12
D(E_F) = 12.69 states/eV/f.u.

---

No. 10
AcPmPr4Er2 | GGA-PBE | optimized geometry

Cell lengths 5.2225, 6.3844, 9.7709 Å; angles 89.61, 74.50, 65.86 degrees
Last column: nearest neighbours and their distance in Å.
Atoms (fractional coordinates):
Pr  0.3735  0.3753  0.8778  4 Er 3.62-3.70, 4 Pr 3.67-3.69, 3 Pm 3.68-3.69, 1 Ac 3.71
Pr  0.8772  0.8753  0.3704  1 Pm 3.64, 4 Er 3.66-3.77, 4 Pr 3.69-3.75, 3 Ac 3.70
Pr  0.1228  0.1247  0.6296  1 Pm 3.64, 4 Er 3.66-3.77, 4 Pr 3.69-3.75, 3 Ac 3.70
Pr  0.6265  0.6247  0.1222  4 Er 3.62-3.70, 4 Pr 3.67-3.69, 3 Pm 3.68-3.69, 1 Ac 3.71
Er  0.2560  0.2434  0.2446  8 Pr 3.62-3.77, 2 Pm 3.66, 2 Ac 3.74
Er  0.7440  0.7566  0.7554  8 Pr 3.62-3.77, 2 Pm 3.66, 2 Ac 3.74
Ac  0.5000  0.5000  0.5000  8 Pr 3.70-3.71, 4 Er 3.74
Pm  0.0000  0.0000  0.0000  8 Pr 3.64-3.69, 4 Er 3.66

Values from the calculation:
E_form = 0.03 eV/atom
space-group type = No. 12
D(E_F) = 12.64 states/eV/f.u.